# CaHoPu2Te4

CaHoPu2Te4 after structural relaxation (PBE, Alexandria via LeMat-Bulk).

Cell lengths 7.6730, 4.4142, 7.6838 Å; angles 90.00, 109.28, 90.00 degrees
Fractional coordinates of all 8 atoms:
Ca 0.0000 0.0000 0.0000
Ho 0.5000 0.5000 0.0000
Pu 0.0000 0.5000 0.5000
Pu 0.5000 0.0000 0.5000
Te 0.2523 0.5000 0.2465
Te 0.2549 0.0000 0.7554
Te 0.7451 0.0000 0.2446
Te 0.7477 0.5000 0.7535

Summary:
Uncorrected formation energy ... -1260 meV per atom
Magnetic moment ... 12.0 μB per formula unit